(1)
Density functional theory data (GGA-PBE) for a relaxed structure of LiTl2PtCl6.

abc: 7.0003 7.0003 7.0003
angles: 60.00 60.00 60.00
Closest atoms and distances in Å follow each position.
Element x y z (fractional)
Cl 0.2440 0.7560 0.2440  1 Pt 2.42, 1 Li 2.53
Cl 0.7560 0.7560 0.2440  1 Pt 2.42, 1 Li 2.53
Cl 0.7560 0.2440 0.2440  1 Pt 2.42, 1 Li 2.53
Cl 0.7560 0.2440 0.7560  1 Pt 2.42, 1 Li 2.53
Cl 0.2440 0.2440 0.7560  1 Pt 2.42, 1 Li 2.53
Cl 0.2440 0.7560 0.7560  1 Pt 2.42, 1 Li 2.53
Li 0.5000 0.5000 0.5000  6 Cl 2.53
Pt 0.0000 0.0000 0.0000  6 Cl 2.42
Tl 0.2500 0.2500 0.2500  12 Cl 3.50
Tl 0.7500 0.7500 0.7500  12 Cl 3.50

E, eV per formula unit: -32.461

---

(2)
Density functional theory data (GGA-PBE) for a relaxed structure of Hf2Sc4Cu3N3.

abc: 5.5487 5.5487 13.6892
angles: 101.66 101.66 59.99
Closest atoms and distances in Å follow each position.
Element x y z (fractional)
Cu 0.5828 0.7837 0.2493  4 Sc 2.74-2.75, 2 Hf 2.83-2.85, 4 Cu 3.03-3.06
Cu 0.9544 0.0456 0.2500  4 Sc 2.74, 2 Hf 2.86, 4 Cu 3.03-3.06
Cu 0.2163 0.4172 0.2507  4 Sc 2.74-2.75, 2 Hf 2.83-2.85, 4 Cu 3.03-3.06
Cu 0.7837 0.5828 0.7493  4 Sc 2.74-2.75, 2 Hf 2.83-2.85, 4 Cu 3.03-3.06
Cu 0.0456 0.9544 0.7500  4 Sc 2.74, 2 Hf 2.86, 4 Cu 3.03-3.06
Cu 0.4172 0.2163 0.7507  4 Sc 2.74-2.75, 2 Hf 2.83-2.85, 4 Cu 3.03-3.06
Hf 0.5334 0.3678 0.1012  3 N 2.23-2.29
Hf 0.6322 0.4666 0.3988  3 N 2.23-2.29
Hf 0.3678 0.5334 0.6012  3 N 2.23-2.29
Hf 0.4666 0.6322 0.8988  3 N 2.23-2.29
N 0.5000 0.0000 0.0000  4 Sc 2.22, 2 Hf 2.29
N 0.8179 0.3410 0.0000  4 Sc 2.22-2.27, 2 Hf 2.23-2.24
N 0.1821 0.6590 0.0000  4 Sc 2.22-2.27, 2 Hf 2.23-2.24
N 0.3410 0.8179 0.5000  4 Sc 2.22-2.27, 2 Hf 2.23-2.24
N 0.0000 0.5000 0.5000  4 Sc 2.22, 2 Hf 2.29
N 0.6590 0.1821 0.5000  4 Sc 2.22-2.27, 2 Hf 2.23-2.24
Sc 0.1971 0.0316 0.0920  3 N 2.22-2.27
Sc 0.8641 0.6975 0.0922  3 N 2.22-2.27
Sc 0.3025 0.1359 0.4078  3 N 2.22-2.27
Sc 0.9684 0.8029 0.4080  3 N 2.22-2.27
Sc 0.0316 0.1971 0.5920  3 N 2.22-2.27
Sc 0.6975 0.8641 0.5922  3 N 2.22-2.27
Sc 0.1359 0.3025 0.9078  3 N 2.22-2.27
Sc 0.8029 0.9684 0.9080  3 N 2.22-2.27

E, eV per formula unit: -92.068

---

(3)
Density functional theory data (GGA-PBE) for a relaxed structure of ZnSbNO.

abc: 4.7887 4.7887 4.4954
angles: 90.00 90.00 90.00
Closest atoms and distances in Å follow each position.
Element x y z (fractional)
N 0.7500 0.7500 0.4986  2 Zn 2.23-2.27, 4 Sb 2.39
N 0.2500 0.2500 0.5014  2 Zn 2.23-2.27, 4 Sb 2.39
O 0.7500 0.2500 0.0000  2 Sb 2.25, 4 Zn 2.39
O 0.2500 0.7500 0.0000  2 Sb 2.25, 4 Zn 2.39
Sb 0.7500 0.2500 0.5000  2 O 2.25, 4 N 2.39
Sb 0.2500 0.7500 0.5000  2 O 2.25, 4 N 2.39
Zn 0.7500 0.7500 0.0029  2 N 2.23-2.27, 4 O 2.39
Zn 0.2500 0.2500 0.9971  2 N 2.23-2.27, 4 O 2.39

E, eV per formula unit: -19.141
ΔE to the lowest computed polymorph, eV per formula unit: 1.607

---

(4)
Density functional theory data (GGA-PBE) for a relaxed structure of Ho2Al.

abc: 6.1385 6.1385 6.1385
angles: 60.00 60.00 60.00
Closest atoms and distances in Å follow each position.
Element x y z (fractional)
Al 0.0000 0.0000 0.0000  12 Ho 3.60, 4 Al 3.76
Al 0.2500 0.2500 0.2500  12 Ho 3.60, 4 Al 3.76
Ho 0.6250 0.6250 0.1250  6 Ho 3.07
Ho 0.6250 0.1250 0.6250  6 Ho 3.07
Ho 0.1250 0.6250 0.6250  6 Ho 3.07
Ho 0.6250 0.6250 0.6250  6 Ho 3.07

E, eV per formula unit: -11.811

---

(5)
Density functional theory data (GGA-PBE) for a relaxed structure of YInCoHg.

abc: 4.8124 4.8124 4.8124
angles: 60.00 60.00 60.00
Closest atoms and distances in Å follow each position.
Element x y z (fractional)
Co 0.7500 0.7500 0.7500  4 Hg 2.95, 4 In 2.95
Hg 0.5000 0.5000 0.5000  4 Co 2.95, 4 Y 2.95
In 0.0000 0.0000 0.0000  4 Y 2.95, 4 Co 2.95
Y 0.2500 0.2500 0.2500  4 In 2.95, 4 Hg 2.95

E, eV per formula unit: -16.643
ΔE to the lowest computed polymorph, eV per formula unit: 0.283

---

(6)
Density functional theory data (GGA-PBE) for a relaxed structure of Gd3Sb2Se.

abc: 4.3290 4.3290 10.5532
angles: 90.00 90.00 120.00
Closest atoms and distances in Å follow each position.
Element x y z (fractional)
Gd 0.6667 0.3333 0.1567  3 Se 3.00, 3 Sb 3.08
Gd 0.0000 0.0000 0.5000  6 Sb 3.10
Gd 0.3333 0.6667 0.8433  3 Se 3.00, 3 Sb 3.08
Sb 0.3333 0.6667 0.3267  6 Gd 3.08-3.10
Sb 0.6667 0.3333 0.6733  6 Gd 3.08-3.10
Se 0.0000 0.0000 0.0000  6 Gd 3.00

E, eV per formula unit: -33.978

---

(7)
Density functional theory data (GGA-PBE) for a relaxed structure of TmNb2F.

abc: 9.8240 2.9630 2.9630
angles: 60.19 90.00 90.00
Closest atoms and distances in Å follow each position.
Element x y z (fractional)
F 0.0000 0.0000 0.0000  2 Nb 2.10
Nb 0.2136 0.0003 0.0003  1 F 2.10
Nb 0.7864 0.0003 0.0003  1 F 2.10
Tm 0.5000 0.6660 0.6660  6 Tm 2.96-2.97, 6 Nb 3.29

E, eV per formula unit: -27.658

---

(8)
Density functional theory data (GGA-PBE) for a relaxed structure of DySi2Pd.

abc: 4.0476 6.1544 5.5965
angles: 90.00 90.00 90.00
Closest atoms and distances in Å follow each position.
Element x y z (fractional)
Dy 0.5000 0.4085 0.1355  7 Si 2.89-3.10, 2 Pd 3.19
Dy 0.0000 0.5915 0.6355  7 Si 2.89-3.10, 2 Pd 3.19
Pd 0.5000 0.9031 0.3582  6 Si 2.53-2.76
Pd 0.0000 0.0969 0.8582  6 Si 2.53-2.76
Si 0.0000 0.7568 0.1373  3 Pd 2.54-2.61, 3 Si 2.59-2.74
Si 0.0000 0.1492 0.3690  3 Pd 2.53-2.76, 3 Si 2.59-2.74
Si 0.5000 0.2432 0.6373  3 Pd 2.54-2.61, 3 Si 2.59-2.74
Si 0.5000 0.8508 0.8690  3 Pd 2.53-2.76, 3 Si 2.59-2.74

E, eV per formula unit: -23.350

---

(9)
Density functional theory data (GGA-PBE) for a relaxed structure of LiZr2O6.

abc: 5.9215 5.9215 3.6373
angles: 104.47 104.47 119.01
Closest atoms and distances in Å follow each position.
Element x y z (fractional)
Li 0.5000 0.5000 0.0000  2 O 1.86
O 0.2481 0.2481 0.1566  1 Li 1.86
O 0.9255 0.5864 0.2992  1 Li 2.21, 3 Zr 2.21-2.23, 2 O 2.22-2.39
O 0.5864 0.9255 0.2992  1 Li 2.21, 3 Zr 2.21-2.23, 2 O 2.22-2.39
O 0.4136 0.0745 0.7008  1 Li 2.21, 3 Zr 2.21-2.23, 2 O 2.22-2.39
O 0.0745 0.4136 0.7008  1 Li 2.21, 3 Zr 2.21-2.23, 2 O 2.22-2.39
O 0.7519 0.7519 0.8434  1 Li 1.86
Zr 0.8393 0.1607 0.0000  8 O 2.10-2.23
Zr 0.1607 0.8393 0.0000  8 O 2.10-2.23

E, eV per formula unit: -68.123
ΔE to the lowest computed polymorph, eV per formula unit: 0.895

---

(10)
Density functional theory data (GGA-PBE) for a relaxed structure of ZrPaCo.

abc: 4.4739 4.4739 4.4739
angles: 60.00 60.00 60.00
Closest atoms and distances in Å follow each position.
Element x y z (fractional)
Co 0.0000 0.0000 0.0000  4 Zr 2.74, 4 Pa 2.74
Pa 0.2500 0.2500 0.2500  4 Co 2.74
Zr 0.7500 0.7500 0.7500  4 Co 2.74

ΔH_f (0 K), eV per formula unit: 0.4
E, eV per formula unit: -24.746
ΔE to the lowest computed polymorph, eV per formula unit: 1.249

---

(11)
Density functional theory data (GGA-PBE) for a relaxed structure of FeSnPdW.

abc: 4.5029 4.5029 4.5029
angles: 60.00 60.00 60.00
Closest atoms and distances in Å follow each position.
Element x y z (fractional)
Fe 0.7500 0.7500 0.7500  4 Pd 2.76, 4 Sn 2.76
Pd 0.5000 0.5000 0.5000  4 Fe 2.76, 4 W 2.76
Sn 0.0000 0.0000 0.0000  4 Fe 2.76, 4 W 2.76
W 0.2500 0.2500 0.2500  4 Pd 2.76, 4 Sn 2.76

E, eV per formula unit: -28.890
ΔE to the lowest computed polymorph, eV per formula unit: 0.454

---

(12)
Density functional theory data (GGA-PBE) for a relaxed structure of Si2Tc2Pb.

abc: 7.0433 7.0433 7.0433
angles: 151.02 151.02 41.44
Closest atoms and distances in Å follow each position.
Element x y z (fractional)
Pb 0.0000 0.0000 0.0000  8 Tc 2.94
Si 0.7500 0.2500 0.5000  4 Tc 2.47, 4 Si 2.49
Si 0.2500 0.7500 0.5000  4 Tc 2.47, 4 Si 2.49
Tc 0.3812 0.3812 0.0000  4 Si 2.47
Tc 0.6188 0.6188 0.0000  4 Si 2.47

E, eV per formula unit: -35.930

---

(13)
Density functional theory data (GGA-PBE) for a relaxed structure of CsHoSb.

abc: 5.4087 5.4087 5.4087
angles: 60.00 60.00 60.00
Closest atoms and distances in Å follow each position.
Element x y z (fractional)
Cs 0.2500 0.2500 0.2500  4 Ho 3.31
Ho 0.0000 0.0000 0.0000  4 Sb 3.31, 4 Cs 3.31
Sb 0.7500 0.7500 0.7500  4 Ho 3.31

E, eV per formula unit: -9.420

---

(14)
Density functional theory data (GGA-PBE) for a relaxed structure of TaTe3H.

abc: 7.5009 7.5009 8.8091
angles: 90.00 90.00 150.79
Closest atoms and distances in Å follow each position.
Element x y z (fractional)
H 0.9518 0.0482 0.1817  1 Te 1.72
H 0.0482 0.9518 0.6817  1 Te 1.72
Ta 0.2638 0.7362 0.0091  8 Te 2.88-3.04
Ta 0.7362 0.2638 0.5091  8 Te 2.88-3.04
Te 0.6599 0.3401 0.1878  3 Ta 2.89-3.04, 1 Te 3.18
Te 0.3362 0.6638 0.3264  2 H 2.83, 3 Ta 2.88-2.99
Te 0.0842 0.9158 0.4960  1 H 1.72
Te 0.3401 0.6599 0.6878  3 Ta 2.89-3.04, 1 Te 3.18
Te 0.6638 0.3362 0.8264  2 H 2.83, 3 Ta 2.88-2.99
Te 0.9158 0.0842 0.9960  1 H 1.72

E, eV per formula unit: -25.351

---

(15)
Density functional theory data (GGA-PBE) for a relaxed structure of TbYAg2Se4.

abc: 6.7711 6.7711 4.3238
angles: 90.00 90.00 90.01
Closest atoms and distances in Å follow each position.
Element x y z (fractional)
Ag 0.5000 0.0000 0.0000  4 Se 2.73
Ag 0.0000 0.5000 0.0000  4 Se 2.73
Se 0.2979 0.2979 0.2830  2 Ag 2.73, 2 Tb 2.86-2.94, 1 Y 2.87
Se 0.7021 0.7021 0.2830  2 Ag 2.73, 2 Tb 2.86-2.94, 1 Y 2.87
Se 0.7982 0.2018 0.7169  2 Ag 2.73, 2 Y 2.86-2.94, 1 Tb 2.88
Se 0.2018 0.7982 0.7169  2 Ag 2.73, 2 Y 2.86-2.94, 1 Tb 2.88
Tb 0.5000 0.5000 0.7961  6 Se 2.86-2.94
Y 0.0000 0.0000 0.2041  6 Se 2.86-2.94

E, eV per formula unit: -40.532

---

(16)
Density functional theory data (GGA-PBE) for a relaxed structure of Lu2Mo4P3N3.

abc: 5.7032 5.7032 12.0213
angles: 103.29 103.29 60.84
Closest atoms and distances in Å follow each position.
Element x y z (fractional)
Lu 0.5339 0.3665 0.1091  3 N 2.25-2.27
Lu 0.6335 0.4661 0.3909  3 N 2.25-2.27
Lu 0.3665 0.5339 0.6091  3 N 2.25-2.27
Lu 0.4661 0.6335 0.8909  3 N 2.25-2.27
Mo 0.1806 0.0469 0.0889  3 N 2.15-2.22
Mo 0.8749 0.7042 0.0893  3 N 2.13-2.24
Mo 0.2958 0.1251 0.4107  3 N 2.13-2.24
Mo 0.9531 0.8194 0.4111  3 N 2.15-2.22
Mo 0.0469 0.1806 0.5889  3 N 2.15-2.22
Mo 0.7042 0.8749 0.5893  3 N 2.13-2.24
Mo 0.1251 0.2958 0.9107  3 N 2.13-2.24
Mo 0.8194 0.9531 0.9111  3 N 2.15-2.22
N 0.5000 0.0000 0.0000  4 Mo 2.20, 2 Lu 2.27
N 0.1790 0.6610 0.0003  4 Mo 2.13-2.24, 2 Lu 2.25-2.26
N 0.3390 0.8210 0.4997  4 Mo 2.13-2.24, 2 Lu 2.25-2.26
N 0.0000 0.5000 0.5000  4 Mo 2.20, 2 Lu 2.27
N 0.6610 0.1790 0.5003  4 Mo 2.13-2.24, 2 Lu 2.25-2.26
N 0.8210 0.3390 0.9997  4 Mo 2.13-2.24, 2 Lu 2.25-2.26
P 0.5747 0.7960 0.2484  4 Mo 2.59-2.65, 2 Lu 2.68-2.71
P 0.9522 0.0478 0.2500  4 Mo 2.54-2.57, 2 Lu 2.68
P 0.2040 0.4253 0.2516  4 Mo 2.59-2.65, 2 Lu 2.68-2.71
P 0.7960 0.5747 0.7484  4 Mo 2.59-2.65, 2 Lu 2.68-2.71
P 0.0478 0.9522 0.7500  4 Mo 2.54-2.57, 2 Lu 2.68
P 0.4253 0.2040 0.7516  4 Mo 2.59-2.65, 2 Lu 2.68-2.71

E, eV per formula unit: -101.957

---

(17)
Density functional theory data (GGA-PBE) for a relaxed structure of YTaGa.

abc: 4.7464 4.7464 4.7464
angles: 60.00 60.00 60.00
Closest atoms and distances in Å follow each position.
Element x y z (fractional)
Ga 0.2500 0.2500 0.2500  4 Ta 2.91
Ta 0.0000 0.0000 0.0000  4 Y 2.91, 4 Ga 2.91
Y 0.7500 0.7500 0.7500  4 Ta 2.91

E, eV per formula unit: -18.907
ΔE to the lowest computed polymorph, eV per formula unit: 0.000

---

(18)
Density functional theory data (GGA-PBE) for a relaxed structure of CsCuGeS3.

abc: 8.9563 3.7940 9.5207
angles: 90.00 115.41 90.00
Closest atoms and distances in Å follow each position.
Element x y z (fractional)
Cs 0.2253 0.2500 0.2676  7 S 3.52-3.69, 2 Cs 3.79, 3 Cu 3.87-3.94
Cs 0.7747 0.7500 0.7324  7 S 3.52-3.69, 2 Cs 3.79, 3 Cu 3.87-3.94
Cu 0.9327 0.7500 0.4128  4 S 2.32-2.35, 2 Cu 2.47
Cu 0.0673 0.2500 0.5872  4 S 2.32-2.35, 2 Cu 2.47
Ge 0.6668 0.2500 0.1387  6 S 2.38-2.56
Ge 0.3332 0.7500 0.8613  6 S 2.38-2.56
S 0.4744 0.7500 0.1381  3 Ge 2.38-2.56
S 0.8531 0.7500 0.1462  1 Cu 2.32, 2 Ge 2.51
S 0.7829 0.2500 0.4239  3 Cu 2.35, 1 Ge 2.46
S 0.2171 0.7500 0.5761  3 Cu 2.35, 1 Ge 2.46
S 0.1469 0.2500 0.8538  1 Cu 2.32, 2 Ge 2.51
S 0.5256 0.2500 0.8619  3 Ge 2.38-2.56

E, eV per formula unit: -24.640
ΔE to the lowest computed polymorph, eV per formula unit: 0.000

---

(19)
Density functional theory data (GGA-PBE) for a relaxed structure of BaSrZnTe3.

abc: 9.6761 4.5728 19.0395
angles: 90.00 90.00 90.00
Closest atoms and distances in Å follow each position.
Element x y z (fractional)
Ba 0.2469 0.7500 0.0392  7 Te 3.44-3.66
Ba 0.7469 0.7500 0.4608  7 Te 3.44-3.66
Ba 0.2531 0.2500 0.5392  7 Te 3.44-3.66
Ba 0.7531 0.2500 0.9608  7 Te 3.44-3.66
Sr 0.9225 0.2500 0.2166  7 Te 3.42-3.52
Sr 0.4225 0.2500 0.2834  7 Te 3.42-3.52
Sr 0.5775 0.7500 0.7166  7 Te 3.42-3.52
Sr 0.0775 0.7500 0.7834  7 Te 3.42-3.52
Te 0.8854 0.7500 0.0775  1 Zn 2.66
Te 0.4977 0.2500 0.1022  2 Zn 2.74
Te 0.1866 0.7500 0.2248  1 Zn 2.67
Te 0.6866 0.7500 0.2752  1 Zn 2.67
Te 0.9977 0.2500 0.3978  2 Zn 2.74
Te 0.3854 0.7500 0.4225  1 Zn 2.66
Te 0.6146 0.2500 0.5775  1 Zn 2.66
Te 0.0023 0.7500 0.6022  2 Zn 2.74
Te 0.3134 0.2500 0.7248  1 Zn 2.67
Te 0.8134 0.2500 0.7752  1 Zn 2.67
Te 0.5023 0.7500 0.8978  2 Zn 2.74
Te 0.1146 0.2500 0.9225  1 Zn 2.66
Zn 0.6374 0.7500 0.1373  4 Te 2.66-2.74
Zn 0.1374 0.7500 0.3627  4 Te 2.66-2.74
Zn 0.8626 0.2500 0.6373  4 Te 2.66-2.74
Zn 0.3626 0.2500 0.8627  4 Te 2.66-2.74

E, eV per formula unit: -21.999
ΔE to the lowest computed polymorph, eV per formula unit: 0.027

---

(20)
Density functional theory data (GGA-PBE) for a relaxed structure of LaNbCoCu.

abc: 4.5457 4.5457 4.5457
angles: 60.00 60.00 60.00
Closest atoms and distances in Å follow each position.
Element x y z (fractional)
Co 0.5000 0.5000 0.5000  4 Cu 2.78, 4 La 2.78
Cu 0.7500 0.7500 0.7500  4 Nb 2.78, 4 Co 2.78
La 0.2500 0.2500 0.2500  4 Co 2.78, 4 Nb 2.78
Nb 0.0000 0.0000 0.0000  4 Cu 2.78, 4 La 2.78

ΔH_f (0 K), eV per formula unit: 1.8
E, eV per formula unit: -24.068
ΔE to the lowest computed polymorph, eV per formula unit: 0.446

---

(21)
Density functional theory data (GGA-PBE) for a relaxed structure of DyYPd.

abc: 7.0795 4.8822 8.7726
angles: 90.00 90.00 90.00
Closest atoms and distances in Å follow each position.
Element x y z (fractional)
Dy 0.9842 0.7500 0.1705  3 Pd 2.80-3.10
Dy 0.4842 0.7500 0.3295  3 Pd 2.80-3.10
Dy 0.5158 0.2500 0.6705  3 Pd 2.80-3.10
Dy 0.0158 0.2500 0.8295  3 Pd 2.80-3.10
Pd 0.2376 0.2500 0.0933  3 Dy 2.80-3.10, 4 Y 2.88-3.00
Pd 0.7376 0.2500 0.4067  3 Dy 2.80-3.10, 4 Y 2.88-3.00
Pd 0.2624 0.7500 0.5933  3 Dy 2.80-3.10, 4 Y 2.88-3.00
Pd 0.7624 0.7500 0.9067  3 Dy 2.80-3.10, 4 Y 2.88-3.00
Y 0.6448 0.2500 0.0818  4 Pd 2.88-3.00
Y 0.1448 0.2500 0.4182  4 Pd 2.88-3.00
Y 0.8552 0.7500 0.5818  4 Pd 2.88-3.00
Y 0.3552 0.7500 0.9182  4 Pd 2.88-3.00

ΔH_f (0 K), eV per formula unit: -1.9
E, eV per formula unit: -18.107
ΔE to the lowest computed polymorph, eV per formula unit: 0.031

---

(22)
Density functional theory data (GGA-PBE) for a relaxed structure of MoW3C4.

abc: 10.2361 10.2361 10.2361
angles: 163.06 163.04 24.06
Closest atoms and distances in Å follow each position.
Element x y z (fractional)
C 0.0579 0.0579 0.0000  1 W 2.12, 4 Mo 2.14
C 0.4416 0.4416 0.0000  4 W 2.14, 1 Mo 2.23
C 0.8083 0.3083 0.5000  5 W 2.14-2.20
C 0.1896 0.6896 0.5000  5 W 2.14-2.20
Mo 0.5529 0.5529 0.0000  5 C 2.14-2.23
W 0.9519 0.9519 0.0000  5 C 2.12-2.14
W 0.6985 0.1985 0.5000  5 C 2.14-2.20
W 0.2993 0.7993 0.5000  5 C 2.14-2.20

E, eV per formula unit: -83.464